## 1
# CsCo3H | the Alexandria database | PBE | optimized geometry
# Crystal system: cubic
data_CsCo3H
_symmetry_space_group_name_H-M 'P m -3 m'
_symmetry_Int_Tables_number 221
_symmetry_space_group_name_Hall '-P 4 2 3'
_cell_length_a 4.8675
_cell_length_b 4.8675
_cell_length_c 4.8675
_cell_angle_alpha 90.00
_cell_angle_beta 90.00
_cell_angle_gamma 90.00
loop_
_atom_site_label
_atom_site_type_symbol
_atom_site_fract_x
_atom_site_fract_y
_atom_site_fract_z
_atom_site_occupancy
Cs1 Cs 0.0000 0.0000 0.0000 1
Co1 Co 0.0000 0.0000 0.5000 1
H1 H 0.5000 0.5000 0.5000 1

=====

## 2
# CsCo3H | the Alexandria database | PBE | optimized geometry
# Crystal system: cubic
data_CsCo3H
_symmetry_space_group_name_H-M 'P m -3 m'
_symmetry_Int_Tables_number 221
_symmetry_space_group_name_Hall '-P 4 2 3'
_cell_length_a 4.0343
_cell_length_b 4.0343
_cell_length_c 4.0343
_cell_angle_alpha 90.00
_cell_angle_beta 90.00
_cell_angle_gamma 90.00
loop_
_atom_site_label
_atom_site_type_symbol
_atom_site_fract_x
_atom_site_fract_y
_atom_site_fract_z
_atom_site_occupancy
Cs1 Cs 0.0000 0.0000 0.0000 1
Co1 Co 0.0000 0.5000 0.5000 1
H1 H 0.5000 0.5000 0.5000 1

=====

Here are the energies relative to the best structure, in meV per atom: 1 1632; 2 0.

=====

## 1
# CsHf2Co | the Alexandria database | PBE | optimized geometry
# Crystal system: tetragonal
data_CsHf2Co
_symmetry_space_group_name_H-M 'I 41/a m d'
_symmetry_Int_Tables_number 141
_cell_length_a 6.6971
_cell_length_b 6.6971
_cell_length_c 13.2271
_cell_angle_alpha 90.00
_cell_angle_beta 90.00
_cell_angle_gamma 90.00
loop_
_symmetry_equiv_pos_as_xyz
'x,y,z'
'-x,-y,-z'
'-y+1/4,x+3/4,z+1/4'
'y+1/4,-x+3/4,-z+1/4'
'-x+1/2,-y,z+1/2'
'x+1/2,y,-z+1/2'
'y+1/4,-x+1/4,z+3/4'
'-y+1/4,x+1/4,-z+3/4'
'x,-y,-z'
'-x,y,z'
'-y+1/4,-x+1/4,-z+3/4'
'y+1/4,x+1/4,z+3/4'
'-x+1/2,y,-z+1/2'
'x+1/2,-y,z+1/2'
'y+1/4,x+3/4,-z+1/4'
'-y+1/4,-x+3/4,z+1/4'
'x+1/2,y+1/2,z+1/2'
'-x+1/2,-y+1/2,-z+1/2'
'-y+3/4,x+1/4,z+3/4'
'y+3/4,-x+1/4,-z+3/4'
'-x,-y+1/2,z'
'x,y+1/2,-z'
'y+3/4,-x+3/4,z+1/4'
'-y+3/4,x+3/4,-z+1/4'
'x+1/2,-y+1/2,-z+1/2'
'-x+1/2,y+1/2,z+1/2'
'-y+3/4,-x+3/4,-z+1/4'
'y+3/4,x+3/4,z+1/4'
'-x,y+1/2,-z'
'x,-y+1/2,z'
'y+3/4,x+1/4,-z+3/4'
'-y+3/4,-x+1/4,z+3/4'
loop_
_atom_site_label
_atom_site_type_symbol
_atom_site_fract_x
_atom_site_fract_y
_atom_site_fract_z
_atom_site_occupancy
Cs1 Cs 0.0000 0.2500 0.3750 1
Hf1 Hf 0.0000 0.0000 0.0000 1
Co1 Co 0.0000 0.2500 0.8750 1

=====

## 2
# CsHf2Co | the Alexandria database | PBE | optimized geometry
# Crystal system: cubic
data_CsHf2Co
_symmetry_space_group_name_H-M 'F m -3 m'
_symmetry_Int_Tables_number 225
_symmetry_space_group_name_Hall '-F 4 2 3'
_cell_length_a 6.9425
_cell_length_b 6.9425
_cell_length_c 6.9425
_cell_angle_alpha 90.00
_cell_angle_beta 90.00
_cell_angle_gamma 90.00
loop_
_atom_site_label
_atom_site_type_symbol
_atom_site_fract_x
_atom_site_fract_y
_atom_site_fract_z
_atom_site_occupancy
Cs1 Cs 0.0000 0.0000 0.0000 1
Hf1 Hf 0.2500 0.2500 0.2500 1
Co1 Co 0.0000 0.0000 0.5000 1

=====

Here are the energies relative to the best structure, in meV per atom: 1 0; 2 82.

=====

## 1
# CsCoHg2Pb | the Alexandria database | PBE | optimized geometry
# Crystal system: tetragonal
data_CsCoHg2Pb
_symmetry_space_group_name_H-M 'P 4/m m m'
_symmetry_Int_Tables_number 123
_symmetry_space_group_name_Hall '-P 4 2'
_cell_length_a 6.3349
_cell_length_b 6.3349
_cell_length_c 4.9759
_cell_angle_alpha 90.00
_cell_angle_beta 90.00
_cell_angle_gamma 90.00
loop_
_atom_site_label
_atom_site_type_symbol
_atom_site_fract_x
_atom_site_fract_y
_atom_site_fract_z
_atom_site_occupancy
Cs1 Cs 0.0000 0.0000 0.0000 1
Co1 Co 0.0000 0.0000 0.5000 1
Hg1 Hg 0.0000 0.5000 0.0000 1
Pb1 Pb 0.5000 0.5000 0.5000 1

=====

## 2
# CsCoHg2Pb | the Alexandria database | PBE | optimized geometry
# Crystal system: tetragonal
data_CsCoHg2Pb
_symmetry_space_group_name_H-M 'P 4/m m m'
_symmetry_Int_Tables_number 123
_symmetry_space_group_name_Hall '-P 4 2'
_cell_length_a 5.3762
_cell_length_b 5.3762
_cell_length_c 5.0265
_cell_angle_alpha 90.00
_cell_angle_beta 90.00
_cell_angle_gamma 90.00
loop_
_atom_site_label
_atom_site_type_symbol
_atom_site_fract_x
_atom_site_fract_y
_atom_site_fract_z
_atom_site_occupancy
Cs1 Cs 0.0000 0.0000 0.0000 1
Co1 Co 0.5000 0.5000 0.5000 1
Hg1 Hg 0.0000 0.5000 0.5000 1
Pb1 Pb 0.5000 0.5000 0.0000 1

=====

Here are the energies relative to the best structure, in meV per atom: 1 1246; 2 0.

=====

## 1
# CsCoSnHg2 | the Alexandria database | PBE | optimized geometry
# Crystal system: tetragonal
data_CsCoSnHg2
_symmetry_space_group_name_H-M 'P 4/m m m'
_symmetry_Int_Tables_number 123
_symmetry_space_group_name_Hall '-P 4 2'
_cell_length_a 5.3662
_cell_length_b 5.3662
_cell_length_c 4.8983
_cell_angle_alpha 90.00
_cell_angle_beta 90.00
_cell_angle_gamma 90.00
loop_
_atom_site_label
_atom_site_type_symbol
_atom_site_fract_x
_atom_site_fract_y
_atom_site_fract_z
_atom_site_occupancy
Cs1 Cs 0.0000 0.0000 0.0000 1
Co1 Co 0.5000 0.5000 0.5000 1
Sn1 Sn 0.5000 0.5000 0.0000 1
Hg1 Hg 0.0000 0.5000 0.5000 1

=====

## 2
# CsCoSnHg2 | the Alexandria database | PBE | optimized geometry
# Crystal system: tetragonal
data_CsCoSnHg2
_symmetry_space_group_name_H-M 'P 4/m m m'
_symmetry_Int_Tables_number 123
_symmetry_space_group_name_Hall '-P 4 2'
_cell_length_a 5.5577
_cell_length_b 5.5577
_cell_length_c 7.2910
_cell_angle_alpha 90.00
_cell_angle_beta 90.00
_cell_angle_gamma 90.00
loop_
_atom_site_label
_atom_site_type_symbol
_atom_site_fract_x
_atom_site_fract_y
_atom_site_fract_z
_atom_site_occupancy
Cs1 Cs 0.0000 0.0000 0.0000 1
Co1 Co 0.5000 0.5000 0.0000 1
Sn1 Sn 0.0000 0.0000 0.5000 1
Hg1 Hg 0.0000 0.5000 0.5000 1

=====

Here are the energies relative to the best structure, in meV per atom: 1 0; 2 846.

=====

## 1
# CsCoIN2 | the Alexandria database | PBE | optimized geometry
# Crystal system: tetragonal
data_CsCoIN2
_symmetry_space_group_name_H-M 'P 4/m m m'
_symmetry_Int_Tables_number 123
_symmetry_space_group_name_Hall '-P 4 2'
_cell_length_a 4.4823
_cell_length_b 4.4823
_cell_length_c 5.3118
_cell_angle_alpha 90.00
_cell_angle_beta 90.00
_cell_angle_gamma 90.00
loop_
_atom_site_label
_atom_site_type_symbol
_atom_site_fract_x
_atom_site_fract_y
_atom_site_fract_z
_atom_site_occupancy
Cs1 Cs 0.0000 0.0000 0.0000 1
Co1 Co 0.5000 0.5000 0.5000 1
I1 I 0.5000 0.5000 0.0000 1
N1 N 0.0000 0.5000 0.5000 1

=====

## 2
# CsCoIN2 | the Alexandria database | PBE | optimized geometry
# Crystal system: tetragonal
data_CsCoIN2
_symmetry_space_group_name_H-M 'P 4/m m m'
_symmetry_Int_Tables_number 123
_symmetry_space_group_name_Hall '-P 4 2'
_cell_length_a 4.4444
_cell_length_b 4.4444
_cell_length_c 7.7266
_cell_angle_alpha 90.00
_cell_angle_beta 90.00
_cell_angle_gamma 90.00
loop_
_atom_site_label
_atom_site_type_symbol
_atom_site_fract_x
_atom_site_fract_y
_atom_site_fract_z
_atom_site_occupancy
Cs1 Cs 0.0000 0.0000 0.0000 1
Co1 Co 0.5000 0.5000 0.5000 1
I1 I 0.0000 0.0000 0.5000 1
N1 N 0.0000 0.5000 0.0000 1

=====

Here are the energies relative to the best structure, in meV per atom: 1 0; 2 1025.

=====

## 1
# CsIn3Co | the Alexandria database | PBE | optimized geometry
# Crystal system: cubic
data_CsIn3Co
_symmetry_space_group_name_H-M 'P m -3 m'
_symmetry_Int_Tables_number 221
_symmetry_space_group_name_Hall '-P 4 2 3'
_cell_length_a 5.1701
_cell_length_b 5.1701
_cell_length_c 5.1701
_cell_angle_alpha 90.00
_cell_angle_beta 90.00
_cell_angle_gamma 90.00
loop_
_atom_site_label
_atom_site_type_symbol
_atom_site_fract_x
_atom_site_fract_y
_atom_site_fract_z
_atom_site_occupancy
Cs1 Cs 0.0000 0.0000 0.0000 1
In1 In 0.0000 0.5000 0.5000 1
Co1 Co 0.5000 0.5000 0.5000 1

=====

## 2
# CsIn3Co | the Alexandria database | PBE | optimized geometry
# Crystal system: cubic
data_CsIn3Co
_symmetry_space_group_name_H-M 'P m -3 m'
_symmetry_Int_Tables_number 221
_symmetry_space_group_name_Hall '-P 4 2 3'
_cell_length_a 6.4773
_cell_length_b 6.4773
_cell_length_c 6.4773
_cell_angle_alpha 90.00
_cell_angle_beta 90.00
_cell_angle_gamma 90.00
loop_
_atom_site_label
_atom_site_type_symbol
_atom_site_fract_x
_atom_site_fract_y
_atom_site_fract_z
_atom_site_occupancy
Cs1 Cs 0.0000 0.0000 0.0000 1
In1 In 0.0000 0.0000 0.5000 1
Co1 Co 0.5000 0.5000 0.5000 1

=====

Here are the energies relative to the best structure, in meV per atom: 1 0; 2 1704.

=====

## 1
# CsLa3Co | the Alexandria database | PBE | optimized geometry
# Crystal system: cubic
data_CsLa3Co
_symmetry_space_group_name_H-M 'P m -3 m'
_symmetry_Int_Tables_number 221
_symmetry_space_group_name_Hall '-P 4 2 3'
_cell_length_a 5.7189
_cell_length_b 5.7189
_cell_length_c 5.7189
_cell_angle_alpha 90.00
_cell_angle_beta 90.00
_cell_angle_gamma 90.00
loop_
_atom_site_label
_atom_site_type_symbol
_atom_site_fract_x
_atom_site_fract_y
_atom_site_fract_z
_atom_site_occupancy
Cs1 Cs 0.0000 0.0000 0.0000 1
La1 La 0.0000 0.5000 0.5000 1
Co1 Co 0.5000 0.5000 0.5000 1

=====

## 2
# CsLa3Co | the Alexandria database | PBE | optimized geometry
# Crystal system: cubic
data_CsLa3Co
_symmetry_space_group_name_H-M 'P m -3 m'
_symmetry_Int_Tables_number 221
_symmetry_space_group_name_Hall '-P 4 2 3'
_cell_length_a 5.8521
_cell_length_b 5.8521
_cell_length_c 5.8521
_cell_angle_alpha 90.00
_cell_angle_beta 90.00
_cell_angle_gamma 90.00
loop_
_atom_site_label
_atom_site_type_symbol
_atom_site_fract_x
_atom_site_fract_y
_atom_site_fract_z
_atom_site_occupancy
Cs1 Cs 0.0000 0.0000 0.0000 1
La1 La 0.0000 0.0000 0.5000 1
Co1 Co 0.5000 0.5000 0.5000 1

=====

Here are the energies relative to the best structure, in meV per atom: 1 0; 2 1292.

=====

## 1
# CsMg14Co | the Alexandria database | PBE | optimized geometry
# Crystal system: hexagonal
data_CsMg14Co
_symmetry_space_group_name_H-M 'P -6 m 2'
_symmetry_Int_Tables_number 187
_symmetry_space_group_name_Hall 'P -6 2'
_cell_length_a 6.4604
_cell_length_b 6.4604
_cell_length_c 10.7086
_cell_angle_alpha 90.00
_cell_angle_beta 90.00
_cell_angle_gamma 120.00
loop_
_atom_site_label
_atom_site_type_symbol
_atom_site_fract_x
_atom_site_fract_y
_atom_site_fract_z
_atom_site_occupancy
Cs1 Cs 0.0000 0.0000 0.0000 1
Mg1 Mg 0.0088 0.5044 0.0000 1
Mg2 Mg 0.1625 0.3250 0.2869 1
Mg3 Mg 0.5076 0.0152 0.5000 1
Mg4 Mg 0.6667 0.3333 0.2391 1
Co1 Co 0.0000 0.0000 0.5000 1

=====

## 2
# CsMg14Co | the Alexandria database | PBE | optimized geometry
# Crystal system: orthorhombic
data_CsMg14Co
_symmetry_space_group_name_H-M 'A m m 2'
_symmetry_Int_Tables_number 38
_cell_length_a 10.7562
_cell_length_b 6.3301
_cell_length_c 11.3065
_cell_angle_alpha 90.00
_cell_angle_beta 90.00
_cell_angle_gamma 90.00
loop_
_symmetry_equiv_pos_as_xyz
'x,y,z'
'-x,-y,z'
'-x,y,z'
'x,-y,z'
'x,y+1/2,z+1/2'
'-x,-y+1/2,z+1/2'
'-x,y+1/2,z+1/2'
'x,-y+1/2,z+1/2'
loop_
_atom_site_label
_atom_site_type_symbol
_atom_site_fract_x
_atom_site_fract_y
_atom_site_fract_z
_atom_site_occupancy
Cs1 Cs 0.0000 0.0000 0.0000 1
Mg1 Mg 0.0000 0.2485 0.2450 1
Mg2 Mg 0.2106 0.0000 0.6060 1
Mg3 Mg 0.2529 0.2420 0.3656 1
Mg4 Mg 0.2808 0.0000 0.1223 1
Mg5 Mg 0.5000 0.0000 0.4526 1
Mg6 Mg 0.5000 0.0000 0.9480 1
Mg7 Mg 0.5000 0.2406 0.7036 1
Co1 Co 0.0000 0.0000 0.4322 1

=====

Here are the energies relative to the best structure, in meV per atom: 1 7; 2 0.